Record 1
Compound: CsNdCuCl6
Source: Alexandria
Functional: PBE
Structure: optimized geometry

POSCAR file:
```
CsNdCuCl6
1.0
-3.8699 6.0089 -2.1463
-5.7812 -0.2776 -3.3402
-4.4242 0.7888 6.3779
Cs Nd Cu Cl
1 1 1 6
direct
0.0443 0.9111 0.9999
0.6846 0.6306 0.5000
0.3310 0.3398 0.5004
0.9935 0.3827 0.2425
0.3631 0.0482 0.6935
0.6217 0.3841 0.7574
0.0058 0.6284 0.6507
0.3664 0.6278 0.3488
0.5894 0.0473 0.3067
```

* crystal system: triclinic
* energy relative to the elements, uncorrected: -1623.3 meV per atom
* space group: P1, No. 1
* M_tot: 1.0 μB per formula unit


Record 2
Compound: Cs3NdCu2Cl9
Source: Alexandria
Functional: PBE
Structure: optimized geometry

POSCAR file:
```
Cs3NdCu2Cl9
1.0
7.3713 0.0000 0.0000
-3.6857 6.3838 0.0000
0.0000 0.0000 9.1295
Cs Nd Cu Cl
3 1 2 9
direct
0.3333 0.6667 0.6780
0.0000 0.0000 0.0000
0.6667 0.3333 0.3220
0.0000 0.0000 0.5000
0.3333 0.6667 0.1314
0.6667 0.3333 0.8686
0.8265 0.1735 0.6753
0.8265 0.6531 0.6753
0.3469 0.1735 0.6753
0.6531 0.8265 0.3247
0.1735 0.3469 0.3247
0.1735 0.8265 0.3247
0.5000 0.0000 0.0000
0.0000 0.5000 0.0000
0.5000 0.5000 0.0000
```

* crystal system: trigonal
* energy relative to the elements, uncorrected: -1569.6 meV per atom
* space group: P-3m1, No. 164
* M_tot: 1.1 μB per formula unit


Record 3
Compound: CsCu2NiCl8
Source: Alexandria
Functional: PBE
Structure: optimized geometry

POSCAR file:
```
CsCu2NiCl8
1.0
-3.8567 -3.2347 -3.7698
5.7211 -2.2507 1.3238
-3.5706 -4.6039 7.6035
Cs Cu Ni Cl
1 2 1 8
direct
0.0000 0.0000 0.0000
0.6667 0.3333 0.3073
0.3333 0.6667 0.6927
0.0000 0.0000 0.5000
0.3333 0.6667 0.9235
0.2966 0.2928 0.3595
0.7072 0.0038 0.3595
0.6667 0.3333 0.0765
0.2928 0.9962 0.6405
0.7034 0.7072 0.6405
0.0038 0.2966 0.6405
0.9962 0.7034 0.3595
```

* crystal system: trigonal
* energy relative to the elements, uncorrected: -719.8 meV per atom
* space group: P-3, No. 147
* M_tot: 1.2 μB per formula unit


Record 4
Compound: Cs3Cu2NiCl9
Source: Alexandria
Functional: PBE
Structure: optimized geometry

POSCAR file:
```
Cs3Cu2NiCl9
1.0
-3.3122 4.7014 -4.0534
3.2990 -5.4752 -2.9398
-7.2172 -4.6310 0.5260
Cs Cu Ni Cl
3 2 1 9
direct
0.3333 0.6667 0.6675
0.0000 0.0000 0.0000
0.6667 0.3333 0.3325
0.3333 0.6667 0.1629
0.6667 0.3333 0.8371
0.0000 0.0000 0.5000
0.8385 0.1615 0.6608
0.8385 0.6770 0.6608
0.3230 0.1615 0.6608
0.6770 0.8385 0.3392
0.1615 0.3230 0.3392
0.1615 0.8385 0.3392
0.5000 0.0000 0.0000
0.0000 0.5000 0.0000
0.5000 0.5000 0.0000
```

* crystal system: trigonal
* energy relative to the elements, uncorrected: -1089.2 meV per atom
* space group: P-3m1, No. 164
* M_tot: 0.1 μB per formula unit


Record 5
Compound: CsNpCuCl5
Source: Alexandria
Functional: PBE
Structure: optimized geometry

POSCAR file:
```
CsNpCuCl5
1.0
7.6420 0.0494 -0.0342
-2.1835 7.3236 -0.0342
-2.3073 -3.1165 9.6382
Cs Np Cu Cl
2 2 2 10
direct
0.3456 0.6544 0.2500
0.6544 0.3456 0.7500
0.0000 0.0000 0.5000
0.0000 0.0000 0.0000
0.6914 0.3086 0.2500
0.3086 0.6914 0.7500
0.0676 0.9324 0.2500
0.9324 0.0676 0.7500
0.8909 0.3003 0.1092
0.1091 0.6997 0.8908
0.6997 0.1091 0.3908
0.3003 0.8909 0.6092
0.7731 0.6199 0.4086
0.2269 0.3801 0.5914
0.3801 0.2269 0.0914
0.6199 0.7731 0.9086
```

* crystal system: monoclinic
* energy relative to the elements, uncorrected: -1469.1 meV per atom
* space group: C2/c, No. 15
* M_tot: 4.0 μB per formula unit


Record 6
Compound: Cs2NpCuCl6
Source: Alexandria
Functional: PBE
Structure: optimized geometry

POSCAR file:
```
Cs2NpCuCl6
1.0
-2.0512 -5.8575 1.6036
4.7288 -3.0636 -5.1417
2.3683 1.1314 7.1620
Cs Np Cu Cl
2 1 1 6
direct
0.2197 0.3333 0.6667
0.7803 0.6667 0.3333
0.5000 0.0000 0.0000
0.0000 0.0000 0.0000
0.7632 0.1615 0.3229
0.7632 0.1615 0.8385
0.7632 0.6771 0.8385
0.2368 0.8385 0.1615
0.2368 0.3229 0.1615
0.2368 0.8385 0.6771
```

* crystal system: trigonal
* energy relative to the elements, uncorrected: -1577.3 meV per atom
* space group: P-3m1, No. 164
* M_tot: 4.0 μB per formula unit


Record 7
Compound: Cs2CuClO
Source: Alexandria
Functional: PBE
Structure: optimized geometry

POSCAR file:
```
Cs2CuClO
1.0
6.2267 0.0000 0.0000
0.0000 6.2267 0.0000
0.0000 0.0000 3.7025
Cs O Cu Cl
2 1 1 1
direct
0.0000 0.5000 0.0000
0.5000 0.0000 0.0000
0.0000 0.0000 0.0000
0.0000 0.0000 0.5000
0.5000 0.5000 0.5000
```

* crystal system: tetragonal
* energy relative to the elements, uncorrected: -1234.5 meV per atom
* space group: P4/mmm, No. 123
* M_tot: 0.0 μB per formula unit


Record 8
Compound: CsCuOsCl6
Source: Alexandria
Functional: PBE
Structure: optimized geometry

POSCAR file:
```
CsCuOsCl6
1.0
6.4094 0.0003 -0.0001
3.2050 5.5507 -0.0001
0.0001 -0.0004 7.8196
Cs Cu Os Cl
1 1 1 6
direct
0.0000 0.0000 0.0000
0.6666 0.6667 0.5000
0.3333 0.3334 0.5000
0.0186 0.3557 0.3306
0.3557 0.0186 0.6694
0.6256 0.3558 0.6694
0.0186 0.6257 0.6694
0.3557 0.6256 0.3306
0.6256 0.0186 0.3306
```

* crystal system: trigonal
* energy relative to the elements, uncorrected: -779.9 meV per atom
* space group: P312, No. 149
* M_tot: 2.0 μB per formula unit


Record 9
Compound: CsCuPCl2
Source: Alexandria
Functional: PBE
Structure: optimized geometry

POSCAR file:
```
CsCuPCl2
1.0
5.3875 0.0000 0.0000
0.0000 5.3875 0.0000
0.0000 0.0000 4.5300
Cs P Cu Cl
1 1 1 2
direct
0.5000 0.5000 0.5000
0.0000 0.0000 0.5000
0.0000 0.0000 0.0000
0.0000 0.5000 0.0000
0.5000 0.0000 0.0000
```

* crystal system: tetragonal
* energy relative to the elements, uncorrected: -453.4 meV per atom
* space group: P4/mmm, No. 123
* M_tot: 1.8 μB per formula unit


Record 10
Compound: Cs2CuPCl6
Source: Alexandria
Functional: PBE
Structure: optimized geometry

POSCAR file:
```
Cs2CuPCl6
1.0
7.5426 0.0000 0.0000
0.0000 7.5426 0.0000
3.7713 3.7713 4.8291
Cs P Cu Cl
2 1 1 6
direct
0.7500 0.2500 0.5000
0.2500 0.7500 0.5000
0.5000 0.5000 0.0000
0.0000 0.0000 0.0000
0.2321 0.2321 0.5358
0.7679 0.7679 0.4642
0.2733 0.2733 0.0000
0.7267 0.7267 0.0000
0.7267 0.2733 0.0000
0.2733 0.7267 0.0000
```

* crystal system: tetragonal
* energy relative to the elements, uncorrected: -1072.9 meV per atom
* space group: I4/mmm, No. 139
* M_tot: 0.0 μB per formula unit


Record 11
Compound: Cs3Cu2PbCl8
Source: Alexandria
Functional: PBE
Structure: optimized geometry

POSCAR file:
```
Cs3Cu2PbCl8
1.0
-3.8744 3.9030 -5.1665
1.2845 -7.3656 -1.0174
-8.2882 -2.0863 4.6393
Cs Cu Pb Cl
3 2 1 8
direct
0.3333 0.6667 0.6446
0.6667 0.3333 0.3554
0.0000 0.0000 0.0000
0.3333 0.6667 0.2124
0.6667 0.3333 0.7876
0.0000 0.0000 0.5000
0.3333 0.6667 0.9878
0.6667 0.3333 0.0122
0.1733 0.8267 0.3228
0.8267 0.1733 0.6772
0.1733 0.3467 0.3228
0.8267 0.6533 0.6772
0.6533 0.8267 0.3228
0.3467 0.1733 0.6772
```

* crystal system: trigonal
* energy relative to the elements, uncorrected: -1292.7 meV per atom
* space group: P-3m1, No. 164
* M_tot: 0.9 μB per formula unit


Record 12
Compound: Cs3Cu2PbCl6
Source: Alexandria
Functional: PBE
Structure: optimized geometry

POSCAR file:
```
Cs3Cu2PbCl6
1.0
-4.3839 0.3766 -6.7041
7.9112 -1.2327 -0.4464
-1.3058 -8.5161 0.3755
Cs Cu Pb Cl
3 2 1 6
direct
0.3333 0.6667 0.6688
0.6667 0.3333 0.3312
0.0000 0.0000 0.0000
0.6667 0.3333 0.7491
0.3333 0.6667 0.2509
0.0000 0.0000 0.5000
0.6543 0.8271 0.2895
0.1729 0.3457 0.2895
0.1729 0.8271 0.2895
0.8271 0.6543 0.7105
0.3457 0.1729 0.7105
0.8271 0.1729 0.7105
```

* crystal system: trigonal
* energy relative to the elements, uncorrected: -1127.8 meV per atom
* space group: P-3m1, No. 164
* M_tot: 0.0 μB per formula unit


Record 13
Compound: Cs2CuPbCl6
Source: Alexandria
Functional: PBE
Structure: optimized geometry

POSCAR file:
```
Cs2CuPbCl6
1.0
-6.6746 -2.9646 1.5204
3.2986 -6.3590 2.0815
-1.3520 -2.8452 6.8180
Pb Cs Cu Cl
1 2 1 6
direct
0.0000 0.0000 0.0000
0.7500 0.2500 0.5000
0.2500 0.7500 0.5000
0.5000 0.5000 0.0000
0.2626 0.2626 0.4748
0.7374 0.7374 0.5252
0.2668 0.2668 0.0000
0.7332 0.7332 0.0000
0.7332 0.2668 0.0000
0.2668 0.7332 0.0000
```

* crystal system: tetragonal
* energy relative to the elements, uncorrected: -1310.0 meV per atom
* space group: I4/mmm, No. 139
* M_tot: 0.0 μB per formula unit


Record 14
Compound: CsCu4Pb3Cl12
Source: Alexandria
Functional: PBE
Structure: optimized geometry

POSCAR file:
```
CsCu4Pb3Cl12
1.0
-1.4293 -1.3921 8.9204
0.9161 -8.3896 -3.5114
8.3907 3.5991 -0.4428
Cs Cu Pb Cl
1 4 3 12
direct
0.0000 0.0000 0.0000
0.9327 0.0673 0.5000
0.0673 0.5000 0.9327
0.5000 0.9327 0.0673
0.5000 0.5000 0.5000
0.5568 0.4432 0.0000
0.4432 0.0000 0.5568
0.0000 0.5568 0.4432
0.5000 0.3462 0.6538
0.9089 0.5000 0.0911
0.0911 0.9089 0.5000
0.5000 0.0911 0.9089
0.3693 0.9934 0.2316
0.2316 0.3693 0.9934
0.9934 0.2316 0.3693
0.6307 0.7684 0.0066
0.0066 0.6307 0.7684
0.7684 0.0066 0.6307
0.6538 0.5000 0.3462
0.3462 0.6538 0.5000
```

* crystal system: trigonal
* energy relative to the elements, uncorrected: -925.1 meV per atom
* space group: R32, No. 155
* M_tot: 1.1 μB per formula unit


Record 15
Compound: CsCuPbCl5
Source: Alexandria
Functional: PBE
Structure: optimized geometry

POSCAR file:
```
CsCuPbCl5
1.0
-5.4849 2.4515 4.9987
2.1675 -7.4276 1.1016
8.3395 5.0806 3.4961
Cs Cu Pb Cl
2 2 2 10
direct
0.3377 0.6623 0.2500
0.6623 0.3377 0.7500
0.6801 0.3199 0.2500
0.3199 0.6801 0.7500
0.0000 0.0000 0.5000
0.0000 0.0000 0.0000
0.0794 0.9206 0.2500
0.9206 0.0794 0.7500
0.8572 0.2769 0.1058
0.1428 0.7231 0.8942
0.7231 0.1428 0.3942
0.2769 0.8572 0.6058
0.7163 0.5810 0.4175
0.2837 0.4190 0.5825
0.4190 0.2837 0.0825
0.5810 0.7163 0.9175
```

* crystal system: monoclinic
* energy relative to the elements, uncorrected: -1107.5 meV per atom
* space group: C2/c, No. 15
* M_tot: 0.8 μB per formula unit


Record 16
Compound: Cs4CuPb3Cl12
Source: Alexandria
Functional: PBE
Structure: optimized geometry

POSCAR file:
```
Cs4CuPb3Cl12
1.0
-9.2784 0.7520 2.3540
4.5430 -5.3431 6.5580
3.9469 8.7482 -0.2928
Cs Cu Pb Cl
4 1 3 12
direct
0.5000 0.5000 0.5000
0.0000 0.0000 0.5000
0.5000 0.0000 0.0000
0.0000 0.5000 0.0000
0.0000 0.0000 0.0000
0.5000 0.0000 0.5000
0.5000 0.5000 0.0000
0.0000 0.5000 0.5000
0.2500 0.5000 0.7500
0.7679 0.0000 0.7679
0.2321 0.0000 0.2321
0.7500 0.5000 0.2500
0.7679 0.7679 0.0000
0.2321 0.2321 0.0000
0.7500 0.2500 0.5000
0.2500 0.7500 0.5000
0.5000 0.2500 0.7500
0.0000 0.7679 0.7679
0.5000 0.7500 0.2500
0.0000 0.2321 0.2321
```

* crystal system: cubic
* energy relative to the elements, uncorrected: -1385.7 meV per atom
* space group: Im-3m, No. 229
* M_tot: 0.9 μB per formula unit


Record 17
Compound: Cs3CuPb2Cl9
Source: Alexandria
Functional: PBE
Structure: optimized geometry

POSCAR file:
```
Cs3CuPb2Cl9
1.0
7.6776 0.0000 0.0000
-3.8388 6.6490 0.0000
0.0000 0.0000 9.4316
Cs Cu Pb Cl
3 1 2 9
direct
0.3333 0.6667 0.6646
0.0000 0.0000 0.0000
0.6667 0.3333 0.3354
0.0000 0.0000 0.5000
0.3333 0.6667 0.1900
0.6667 0.3333 0.8100
0.8469 0.1531 0.6518
0.8469 0.6938 0.6518
0.3062 0.1531 0.6518
0.6938 0.8469 0.3482
0.1531 0.3062 0.3482
0.1531 0.8469 0.3482
0.5000 0.0000 0.0000
0.0000 0.5000 0.0000
0.5000 0.5000 0.0000
```

* crystal system: trigonal
* energy relative to the elements, uncorrected: -1372.4 meV per atom
* space group: P-3m1, No. 164
* M_tot: 0.1 μB per formula unit


Record 18
Compound: CsCu2PbCl8
Source: Alexandria
Functional: PBE
Structure: optimized geometry

POSCAR file:
```
CsCu2PbCl8
1.0
-4.7054 3.3733 3.1813
-6.1353 -2.4236 0.3544
-1.2806 -4.3597 9.5876
Cs Cu Pb Cl
1 2 1 8
direct
0.0000 0.0000 0.0000
0.7513 0.7513 0.7462
0.2487 0.2487 0.2538
0.5000 0.5000 0.5000
0.6772 0.6772 0.9683
0.3228 0.3228 0.0317
0.5571 0.2255 0.3152
0.7745 0.4429 0.6848
0.0978 0.7745 0.6848
0.2255 0.9022 0.3152
0.9022 0.5571 0.3152
0.4429 0.0978 0.6848
```

* crystal system: trigonal
* energy relative to the elements, uncorrected: -802.6 meV per atom
* space group: R32, No. 155
* M_tot: 3.1 μB per formula unit


Record 19
Compound: CsCuPbCl6
Source: Alexandria
Functional: PBE
Structure: optimized geometry

POSCAR file:
```
CsCuPbCl6
1.0
7.0362 0.0018 0.0005
3.5197 6.0927 -0.0004
0.0008 -0.0017 7.4600
Cs Cu Pb Cl
1 1 1 6
direct
0.0000 0.0000 0.0000
0.6666 0.6667 0.5000
0.3335 0.3334 0.5000
0.9495 0.4006 0.3090
0.4006 0.9496 0.6909
0.6497 0.4006 0.6912
0.9495 0.6499 0.6912
0.4006 0.6497 0.3088
0.6498 0.9495 0.3087
```

* crystal system: trigonal
* energy relative to the elements, uncorrected: -943.7 meV per atom
* space group: P312, No. 149
* M_tot: 2.1 μB per formula unit


Record 20
Compound: CsCuPbCl4
Source: Alexandria
Functional: PBE
Structure: optimized geometry

POSCAR file:
```
CsCuPbCl4
1.0
-5.2733 3.4240 1.3590
-2.0690 -0.4119 -6.9904
-1.5642 -9.5460 1.0255
Cs Cu Pb Cl
2 2 2 8
direct
0.7481 0.7500 0.9456
0.2519 0.2500 0.0544
0.2777 0.7500 0.3321
0.7223 0.2500 0.6679
0.7901 0.7500 0.4637
0.2099 0.2500 0.5363
0.0110 0.4996 0.7038
0.9890 0.9996 0.2962
0.9890 0.5004 0.2962
0.0110 0.0004 0.7038
0.3645 0.7500 0.1325
0.6355 0.2500 0.8675
0.4324 0.7500 0.5785
0.5676 0.2500 0.4215
```

* crystal system: monoclinic
* energy relative to the elements, uncorrected: -1195.8 meV per atom
* space group: P2_1/m, No. 11
* M_tot: 0.1 μB per formula unit


Number 1: E -0.14458 Ha/atom. Number 2: E -0.13643 Ha/atom. Number 3: E -0.11710 Ha/atom. Number 4: E -0.12125 Ha/atom. Number 5: E -0.17858 Ha/atom. Number 6: E -0.16757 Ha/atom. Number 7: E -0.13803 Ha/atom. Number 8: E -0.13997 Ha/atom. Number 9: E -0.11995 Ha/atom. Number 10: E -0.12135 Ha/atom. Number 11: E -0.12425 Ha/atom. Number 12: E -0.11966 Ha/atom. Number 13: E -0.12381 Ha/atom. Number 14: E -0.12683 Ha/atom. Number 15: E -0.12289 Ha/atom. Number 16: E -0.12588 Ha/atom. Number 17: E -0.12563 Ha/atom. Number 18: E -0.11380 Ha/atom. Number 19: E -0.11528 Ha/atom. Number 20: E -0.12818 Ha/atom.